# 1
Density functional theory data (PBE-GGA) for a relaxed CeScV crystal.

Values from the calculation:
* crystal system: monoclinic
* formation energy: 0.20 eV per atom
* D(E_F): 3.80 states/eV/f.u.
* total magnetic moment: 0.0 μB per cell

Lattice parameters (Å, degrees): 10.3793 5.0595 5.6855 90.00 122.01 90.00
Closest atoms and distances in Å follow each position.
Space group C2/m (No. 12)
Unique sites:
Ce (0.1499, 0.0000, 0.2842) [4 per cell]  1 V 2.34
Sc (0.0625, 0.5000, 0.8017) [4 per cell]  3 V 2.84-2.90, 2 Sc 2.96-3.14
V (0.1419, 0.0000, 0.6887) [4 per cell]  1 Ce 2.34, 1 V 2.57

# 2
Density functional theory data (PBE-GGA) for a relaxed Ce2ScV crystal.

Values from the calculation:
* crystal system: trigonal
* formation energy: 0.44 eV per atom
* D(E_F): 10.25 states/eV/f.u.
* total magnetic moment: 4.1 μB per cell

Lattice parameters (Å, degrees): 3.0559 3.0559 33.2214 90.00 90.00 120.00
Closest atoms and distances in Å follow each position.
Space group R-3m (No. 166, hexagonal axes)
Unique sites:
Ce (0.0000, 0.0000, 0.0764) [6 per cell]  1 V 2.54
Sc (0.0000, 0.0000, 0.5000) [3 per cell]  6 Sc 3.06
V (0.0000, 0.0000, 0.0000) [3 per cell]  2 Ce 2.54

# 3
Density functional theory data (PBE-GGA) for a relaxed CeScW4 crystal.

Values from the calculation:
* crystal system: cubic
* formation energy: 0.17 eV per atom
* D(E_F): 8.42 states/eV/f.u.
* total magnetic moment: 0.0 μB per cell

Lattice parameters (Å, degrees): 7.7668 7.7668 7.7668 90.00 90.00 90.00
Closest atoms and distances in Å follow each position.
Space group F-43m (No. 216)
Unique sites:
Ce (0.0000, 0.0000, 0.0000) [4 per cell]  12 W 3.22, 4 Sc 3.36
Sc (0.2500, 0.2500, 0.7500) [4 per cell]  12 W 3.22, 4 Ce 3.36
W (0.1251, 0.1251, 0.3749) [16 per cell]  6 W 2.74-2.75

# 4
Density functional theory data (PBE-GGA) for a relaxed Ce4YSc crystal.

Values from the calculation:
* crystal system: cubic
* formation energy: 0.24 eV per atom
* D(E_F): 18.87 states/eV/f.u.
* total magnetic moment: 15.5 μB per cell

Lattice parameters (Å, degrees): 8.8325 8.8325 8.8325 90.00 90.00 90.00
Closest atoms and distances in Å follow each position.
Space group F-43m (No. 216)
Unique sites:
Ce (0.1214, 0.1214, 0.3786) [16 per cell]  6 Ce 3.03-3.21
Y (0.0000, 0.0000, 0.0000) [4 per cell]  12 Ce 3.67, 4 Sc 3.82
Sc (0.2500, 0.2500, 0.7500) [4 per cell]  12 Ce 3.65, 4 Y 3.82

# 5
Density functional theory data (PBE-GGA) for a relaxed CeY14Sc crystal.

Values from the calculation:
* crystal system: tetragonal
* formation energy: 0.04 eV per atom
* D(E_F): 24.77 states/eV/f.u.
* total magnetic moment: 0.9 μB per cell

Lattice parameters (Å, degrees): 7.1132 7.1132 10.0361 90.00 90.00 90.00
Closest atoms and distances in Å follow each position.
Space group P4/mmm (No. 123)
Unique sites:
Ce (0.0000, 0.0000, 0.0000) [1 per cell]  12 Y 3.53-3.56
Y (0.0000, 0.0000, 0.5000) [1 per cell]  12 Y 3.56-3.59
Y (0.0000, 0.5000, 0.0000) [2 per cell]  8 Y 3.53, 2 Ce 3.56, 2 Sc 3.56
Y (0.0000, 0.5000, 0.5000) [2 per cell]  12 Y 3.56-3.58
Y (0.2508, 0.2508, 0.2462) [8 per cell]  1 Sc 3.52, 10 Y 3.53-3.59, 1 Ce 3.53
Y (0.5000, 0.5000, 0.5000) [1 per cell]  12 Y 3.56-3.57
Sc (0.5000, 0.5000, 0.0000) [1 per cell]  12 Y 3.52-3.56

# 6
Density functional theory data (PBE-GGA) for a relaxed CeYSc2 crystal.

Values from the calculation:
* crystal system: trigonal
* E above lowest polymorph: 13 meV/atom
* formation energy: 0.09 eV per atom
* D(E_F): 8.80 states/eV/f.u.
* total magnetic moment: 1.9 μB per cell

Lattice parameters (Å, degrees): 3.3819 3.3819 33.1547 90.00 90.00 120.00
Closest atoms and distances in Å follow each position.
Space group R3m (No. 160, hexagonal axes)
Unique sites:
Ce (0.0000, 0.0000, 0.0000) [3 per cell]  6 Sc 3.36-3.38, 6 Ce 3.38
Y (0.0000, 0.0000, 0.8341) [3 per cell]  6 Y 3.38, 6 Sc 3.38-3.41
Sc (0.0000, 0.0000, 0.2508) [3 per cell]  3 Ce 3.36, 6 Sc 3.38, 3 Y 3.38
Sc (0.0000, 0.0000, 0.4165) [3 per cell]  3 Ce 3.38, 6 Sc 3.38, 3 Y 3.41